# 1
! Er3InCu8, optimized geometry, DFT PBE; values from VASP
! E_form	-0.227	eV/atom
! E	-0.3180	Ry/atom
&SYSTEM
  ibrav = 0, nat = 12, ntyp = 3
/
ATOMIC_SPECIES
Cu 63.55 Cu.upf
Er 167.26 Er.upf
In 114.82 In.upf
CELL_PARAMETERS angstrom
-2.628 4.354 0.879
-2.737 2.174 -3.798
-8.574 -2.380 1.309
ATOMIC_POSITIONS angstrom
Cu -3.928 2.405 -1.030
Cu -9.563 3.391 0.068
Er -5.445 6.475 -2.892
In -7.974 4.777 -2.042
Cu -5.260 4.612 -0.584
Er -6.910 2.114 -0.825
Cu -9.618 2.299 -2.275
Er -9.453 0.407 0.030
Cu -5.315 3.507 -2.955
Cu -10.935 4.481 -1.835
Cu -4.745 0.191 0.021
Cu -11.733 2.253 -0.777


# 2
! K2Na6CdIn, optimized geometry, DFT PBE; values from VASP
! E_form	0.041	eV/atom
! E	-0.0981	Ry/atom
&SYSTEM
  ibrav = 0, nat = 10, ntyp = 4
/
ATOMIC_SPECIES
K 39.10 K.upf
In 114.82 In.upf
Cd 112.41 Cd.upf
Na 22.99 Na.upf
CELL_PARAMETERS angstrom
-0.150 -3.946 -7.621
0.946 -7.583 3.908
-5.633 -6.310 -1.455
ATOMIC_POSITIONS angstrom
K -2.693 -8.010 -5.466
In 0.398 -5.765 -1.857
Cd 0.000 0.000 0.000
Na 0.598 -8.657 -2.788
Na -2.628 -6.038 -1.655
Na -2.209 -11.801 -3.513
K -2.145 -9.829 0.298
Na 0.198 -2.872 -0.925
Na 0.673 -6.677 1.036
Na 0.123 -4.852 -4.749


# 3
! KPbI2, optimized geometry, DFT PBE; values from VASP
! energy above the most stable polymorph in this dataset	0	meV per atom
! E	-0.1921	Ry/atom
&SYSTEM
  ibrav = 0, nat = 4, ntyp = 3
/
ATOMIC_SPECIES
I 126.90 I.upf
K 39.10 K.upf
Pb 207.20 Pb.upf
CELL_PARAMETERS angstrom
3.739 -2.180 -4.105
3.978 -4.180 1.510
-0.660 -5.593 -1.965
ATOMIC_POSITIONS angstrom
I 5.293 -8.965 -3.420
K 0.000 0.000 0.000
I 1.764 -2.988 -1.140
Pb 3.529 -5.977 -2.280


# 4
! NaFe2H8, optimized geometry, DFT PBE; values from VASP
! E	-0.2991	Ry/atom
&SYSTEM
  ibrav = 0, nat = 11, ntyp = 3
/
ATOMIC_SPECIES
H 1.01 H.upf
Fe 55.84 Fe.upf
Na 22.99 Na.upf
CELL_PARAMETERS angstrom
-3.499 -0.867 3.014
-2.738 -0.994 -3.346
2.497 -3.145 1.883
ATOMIC_POSITIONS angstrom
H -2.346 -3.689 0.557
H -4.271 -3.150 0.117
H -3.135 -2.786 1.823
Fe -2.912 -2.271 0.331
H -2.661 -0.928 -0.564
H -4.164 -1.318 0.763
H -2.211 -1.376 1.375
H -2.769 -2.773 -1.217
Na 2.161 -3.203 2.146
Fe -1.301 -2.932 1.939
H -1.323 -2.319 0.206


# 5
! CaInTe2, optimized geometry, DFT PBE; values from VASP
! E	-0.2627	Ry/atom
&SYSTEM
  ibrav = 0, nat = 4, ntyp = 3
/
ATOMIC_SPECIES
In 114.82 In.upf
Te 127.60 Te.upf
Ca 40.08 Ca.upf
CELL_PARAMETERS angstrom
4.392 0.000 0.000
2.196 3.803 0.000
2.196 1.268 7.790
ATOMIC_POSITIONS angstrom
In 6.587 3.803 7.780
Te 2.196 1.268 5.891
Ca 4.392 2.535 3.891
Te 2.196 1.268 1.912


# 6
! Li2LaSnN, optimized geometry, DFT PBE; values from VASP
! energy above the most stable polymorph in this dataset	248	meV per atom
! E	-0.3434	Ry/atom
&SYSTEM
  ibrav = 0, nat = 5, ntyp = 4
/
ATOMIC_SPECIES
N 14.01 N.upf
Sn 118.71 Sn.upf
La 138.91 La.upf
Li 6.94 Li.upf
CELL_PARAMETERS angstrom
4.750 0.000 0.000
0.000 4.750 0.000
0.000 0.000 4.626
ATOMIC_POSITIONS angstrom
N 0.000 0.000 0.000
Sn 2.375 2.375 2.313
La 0.000 0.000 2.313
Li 0.000 2.375 0.000
Li 2.375 0.000 0.000


# 7
! SrOsSe2, optimized geometry, DFT PBE; values from VASP
! energy above the most stable polymorph in this dataset	576	meV per atom
! E	-0.3712	Ry/atom
&SYSTEM
  ibrav = 0, nat = 4, ntyp = 3
/
ATOMIC_SPECIES
Se 78.96 Se.upf
Sr 87.62 Sr.upf
Os 190.23 Os.upf
CELL_PARAMETERS angstrom
-3.550 0.838 0.893
0.876 -0.175 3.648
1.445 6.180 -0.051
ATOMIC_POSITIONS angstrom
Se -0.968 1.909 2.257
Sr 0.662 2.831 -0.023
Os -0.106 5.594 2.227
Se 1.351 5.779 -0.048


# 8
! TaTc2Ir, optimized geometry, DFT PBE; values from VASP
! energy above the most stable polymorph in this dataset	321	meV per atom
! E_form	0.059	eV/atom
! E	-0.7572	Ry/atom
&SYSTEM
  ibrav = 0, nat = 4, ntyp = 3
/
ATOMIC_SPECIES
Ir 192.22 Ir.upf
Ta 180.95 Ta.upf
Tc 98.00 Tc.upf
CELL_PARAMETERS angstrom
9.461 -0.002 -0.001
9.055 2.743 -0.001
9.055 1.340 2.393
ATOMIC_POSITIONS angstrom
Ir 6.893 1.020 0.598
Ta 20.679 3.061 1.793
Tc 13.908 2.059 1.206
Tc 27.450 4.063 2.380